Entry from the Alexandria database: crystalline Rb2LaTiSb at its relaxed geometry (PBE).

ΔE_f (raw)   0.679 eV/atom

Unit cell a=6.8372 b=6.8372 c=5.3382 alpha=90.00 beta=90.00 gamma=90.00
Space group P4/mmm (No. 123)
One atom of each set of equivalent atoms:
Rb (0.0000, 0.5000, 0.0000) [2 per cell]
La (0.0000, 0.0000, 0.5000) [1 per cell]
Ti (0.5000, 0.5000, 0.5000) [1 per cell]
Sb (0.5000, 0.5000, 0.0000) [1 per cell]

=====

Entry from the Alexandria database: crystalline CsC2SCl at its relaxed geometry (PBE).

ΔE_f (raw)   3.023 eV/atom

Unit cell a=5.5398 b=5.5398 c=6.6022 alpha=90.00 beta=90.00 gamma=90.00
Space group P4/mmm (No. 123)
One atom of each set of equivalent atoms:
Cs (0.0000, 0.0000, 0.0000) [1 per cell]
C (0.0000, 0.5000, 0.0000) [2 per cell]
S (0.5000, 0.5000, 0.5000) [1 per cell]
Cl (0.0000, 0.0000, 0.5000) [1 per cell]

=====

Entry from the Alexandria database: crystalline Zr4TcHg at its relaxed geometry (PBE).

Energy above the lowest structure with this stoichiometry   344 meV per atom

Unit cell a=8.3308 b=4.7735 c=7.7772 alpha=90.00 beta=110.77 gamma=90.00
Space group C2/m (No. 12)
One atom of each set of equivalent atoms:
Zr (0.1176, 0.0000, 0.3495) [4 per cell]
Zr (0.1347, 0.5000, 0.9053) [4 per cell]
Tc (0.0000, 0.0000, 0.0000) [2 per cell]
Hg (0.0000, 0.5000, 0.5000) [2 per cell]